No. 1
Below is NaPaTe4 after structural relaxation, with properties calculated at the GGA-PBE level.

Offset from the most stable computed form in meV/atom: 0.0
DFT total energy in eV for the cell shown: -54.8
V in Å³ per cell: 378.3
Magnetization in μB/f.u.: 0.00
Formation energy from raw total energies in eV/atom: -0.67
SG: P4/nbm
Calculated density in g cm⁻³: 6.7

a b c (Å): 6.861 6.861 8.038
angles (deg): 90.00 90.00 90.00
Fractional positions:
Na 0.500 0.500 0.500
Na 0.000 0.000 0.500
Pa 0.500 0.500 0.000
Pa 0.000 0.000 0.000
Te 0.658 0.842 0.223
Te 0.158 0.658 0.223
Te 0.842 0.342 0.223
Te 0.658 0.158 0.777
Te 0.342 0.842 0.777
Te 0.342 0.158 0.223
Te 0.842 0.658 0.777
Te 0.158 0.342 0.777



No. 2
Below is InGeOs2Pt after structural relaxation, with properties calculated at the GGA-PBE level.

Offset from the most stable computed form in meV/atom: 114.7
DFT total energy in eV for the cell shown: -27.0
V in Å³ per cell: 116.6
Magnetization in μB/f.u.: 0.05
Formation enthalpy at 0 K in eV per atom: 1.77
SG: P4/mmm
Calculated density in g cm⁻³: 10.9

a b c (Å): 4.846 4.846 4.966
angles (deg): 90.00 90.00 90.00
Fractional positions:
Ge 0.500 0.500 0.500
Os 0.000 0.500 0.000
Os 0.500 0.000 0.000
Pt 0.000 0.000 0.000
In 0.000 0.000 0.500